No. 1
Material: CuIrBr
Method: DFT, GGA-PBEsol
State: optimized geometry

Output
volume: 48 Å³/cell
E: -4.54 eV/atom
SG: I4mm, No. 107

The structure in extended XYZ format:
```
3
Lattice="-1.4764 1.4764 5.5174 1.4764 -1.4764 5.5174 1.4764 1.4764 -5.5174" Properties=species:S:1:pos:R:3 pbc="T T T"
Cu 0.0000 0.0000 0.0000
Ir 0.0000 0.0000 6.9909
Br 0.0000 0.0000 3.3016
```

No. 2
Material: Nd3Co29Si4B10
Method: DFT, GGA-PBEsol
State: optimized geometry

Output
volume: 942 Å³/cell
E: -7.70 eV/atom
SG: P4/nmm, No. 129

The structure in extended XYZ format:
```
92
Lattice="11.0250 0.0000 0.0000 0.0000 11.0250 0.0000 0.0000 0.0000 7.7475" Properties=species:S:1:pos:R:3 pbc="T T T"
Nd 0.0000 0.0000 0.0000
Nd 0.0000 5.5125 0.0000
Nd 2.7563 8.2688 3.8738
Nd 5.5125 0.0000 0.0000
Nd 5.5125 5.5125 0.0000
Nd 8.2688 2.7563 3.8738
Co 0.2668 2.7563 3.6762
Co 0.8270 6.4826 2.6138
Co 0.8270 10.0549 2.6138
Co 0.9515 2.7563 7.5294
Co 0.9701 6.3395 5.1337
Co 0.9701 10.1980 5.1337
Co 1.4962 1.4962 1.9523
Co 1.4962 4.0163 1.9523
Co 1.5474 1.5474 5.4146
Co 1.5474 3.9651 5.4146
Co 1.5468 8.2688 0.8579
Co 2.7563 0.2668 3.6762
Co 2.7563 0.9515 7.5294
Co 2.7563 2.7563 3.6296
Co 2.7563 4.5610 7.5294
Co 2.7563 5.2457 3.6762
Co 2.7563 7.0593 6.8896
Co 2.7563 9.4782 6.8896
Co 3.9651 1.5474 5.4146
Co 3.9651 3.9651 5.4146
Co 3.9657 8.2688 0.8579
Co 4.0163 1.4962 1.9523
Co 4.0163 4.0163 1.9523
Co 4.5424 6.3395 5.1337
Co 4.5424 10.1980 5.1337
Co 4.5610 2.7563 7.5294
Co 4.6855 6.4826 2.6138
Co 4.6855 10.0549 2.6138
Co 5.2457 2.7563 3.6762
Co 5.7794 8.2688 4.0713
Co 6.3395 0.9701 5.1337
Co 6.3395 4.5424 5.1337
Co 6.4640 8.2688 0.2181
Co 6.4826 0.8270 2.6138
Co 6.4826 4.6855 2.6138
Co 7.0087 7.0087 5.7953
Co 7.0087 9.5288 5.7953
Co 7.0593 2.7563 6.8896
Co 7.0599 7.0599 2.3329
Co 7.0599 9.4776 2.3329
Co 8.2688 1.5468 0.8579
Co 8.2688 3.9657 0.8579
Co 8.2688 5.7794 4.0713
Co 8.2688 6.4640 0.2181
Co 8.2688 8.2688 4.1180
Co 8.2688 10.0735 0.2181
Co 8.2688 10.7582 4.0713
Co 9.4782 2.7563 6.8896
Co 9.4776 7.0599 2.3329
Co 9.4776 9.4776 2.3329
Co 9.5288 7.0087 5.7953
Co 9.5288 9.5288 5.7953
Co 10.0549 0.8270 2.6138
Co 10.0549 4.6855 2.6138
Co 10.0735 8.2688 0.2181
Co 10.1980 0.9701 5.1337
Co 10.1980 4.5424 5.1337
Co 10.7582 8.2688 4.0713
Si 0.7469 8.2688 6.3812
Si 2.7563 6.2594 1.3663
Si 2.7563 10.2781 1.3663
Si 4.7656 8.2688 6.3812
Si 6.2594 2.7563 1.3663
Si 8.2688 0.7469 6.3812
Si 8.2688 4.7656 6.3812
Si 10.2781 2.7563 1.3663
B 0.0666 8.2688 2.0295
B 0.7158 0.7158 3.7350
B 0.7158 4.7967 3.7350
B 2.7563 2.7563 0.8432
B 2.7563 2.7563 6.5881
B 2.7563 5.5792 5.7180
B 2.7563 10.9584 5.7180
B 4.7967 0.7158 3.7350
B 4.7967 4.7967 3.7350
B 5.4459 8.2688 2.0295
B 5.5792 2.7563 5.7180
B 6.2283 6.2283 4.0126
B 6.2283 10.3092 4.0126
B 8.2688 0.0666 2.0295
B 8.2688 5.4459 2.0295
B 8.2688 8.2688 1.1594
B 8.2688 8.2688 6.9043
B 10.3092 6.2283 4.0126
B 10.3092 10.3092 4.0126
B 10.9584 2.7563 5.7180
```

No. 3
Material: SbPPb
Method: DFT, GGA-PBEsol
State: optimized geometry

Output
volume: 84 Å³/cell
offset from the most stable computed form: 373 meV per atom
E: -4.23 eV/atom
SG: F-43m, No. 216

The structure in extended XYZ format:
```
3
Lattice="0.0000 3.4751 3.4751 3.4751 0.0000 3.4751 3.4751 3.4751 0.0000" Properties=species:S:1:pos:R:3 pbc="T T T"
Sb 0.0000 0.0000 0.0000
P 1.7375 1.7375 1.7375
Pb 5.2126 5.2126 5.2126
```

No. 4
Material: ScNbOs2
Method: DFT, GGA-PBEsol
State: optimized geometry

Output
volume: 63 Å³/cell
E: -10.88 eV/atom
SG: Fm-3m, No. 225

The structure in extended XYZ format:
```
4
Lattice="0.0000 3.1627 3.1627 3.1627 0.0000 3.1627 3.1627 3.1627 0.0000" Properties=species:S:1:pos:R:3 pbc="T T T"
Sc 0.0000 0.0000 0.0000
Nb 3.1627 3.1627 3.1627
Os 1.5813 1.5813 1.5813
Os 4.7440 4.7440 4.7440
```

No. 5
Material: Mg2RhAu
Method: DFT, GGA-PBEsol
State: optimized geometry

Output
volume: 63 Å³/cell
E: -4.41 eV/atom
SG: P4/mmm, No. 123

The structure in extended XYZ format:
```
4
Lattice="4.2608 0.0000 0.0000 0.0000 4.2608 0.0000 0.0000 0.0000 3.4563" Properties=species:S:1:pos:R:3 pbc="T T T"
Mg 0.0000 2.1304 0.0000
Mg 2.1304 0.0000 0.0000
Rh 0.0000 0.0000 1.7282
Au 2.1304 2.1304 1.7282
```

No. 6
Material: RbAs3N
Method: DFT, GGA-PBEsol
State: optimized geometry

Output
volume: 96 Å³/cell
E: -4.28 eV/atom
SG: Pm-3m, No. 221

The structure in extended XYZ format:
```
5
Lattice="4.5761 0.0000 0.0000 0.0000 4.5761 0.0000 0.0000 0.0000 4.5761" Properties=species:S:1:pos:R:3 pbc="T T T"
Rb 0.0000 0.0000 0.0000
As 0.0000 2.2880 2.2880
As 2.2880 0.0000 2.2880
As 2.2880 2.2880 0.0000
N 2.2880 2.2880 2.2880
```

No. 7
Material: YErRu2
Method: DFT, GGA-PBEsol
State: optimized geometry

Output
volume: 74 Å³/cell
E: -8.30 eV/atom
SG: Fm-3m, No. 225

The structure in extended XYZ format:
```
4
Lattice="0.0000 3.3316 3.3316 3.3316 0.0000 3.3316 3.3316 3.3316 0.0000" Properties=species:S:1:pos:R:3 pbc="T T T"
Y 0.0000 0.0000 0.0000
Er 3.3316 3.3316 3.3316
Ru 1.6658 1.6658 1.6658
Ru 4.9974 4.9974 4.9974
```

No. 8
Material: BaFe2Cl
Method: DFT, GGA-PBEsol
State: optimized geometry

Output
volume: 81 Å³/cell
offset from the most stable computed form: 0 meV per atom
E: -5.50 eV/atom
SG: Pm, No. 6

The structure in extended XYZ format:
```
4
Lattice="3.3808 0.0000 0.0000 0.0000 3.2561 0.0000 -1.6870 0.0000 7.3201" Properties=species:S:1:pos:R:3 pbc="T T T"
Ba 0.0000 0.0000 0.0000
Fe 0.0095 1.6281 4.9343
Fe 1.7001 0.0000 4.0767
Cl 1.6901 1.6281 2.1325
```

No. 9
Material: Tb4CdNi
Method: DFT, GGA-PBEsol
State: optimized geometry

Output
volume: 587 Å³/cell
E: -4.87 eV/atom
SG: F-43m, No. 216

The structure in extended XYZ format:
```
24
Lattice="0.0000 6.6440 6.6440 6.6440 0.0000 6.6440 6.6440 6.6440 0.0000" Properties=species:S:1:pos:R:3 pbc="T T T"
Tb 3.3220 3.3220 0.8033
Tb 3.3220 0.8033 3.3220
Tb 5.8407 3.3220 3.3220
Tb 6.6440 6.6440 2.4777
Tb 6.6440 2.4777 6.6440
Tb 10.8103 6.6440 6.6440
Tb 7.9532 5.3348 5.3348
Tb 0.8033 3.3220 3.3220
Tb 3.3220 5.8407 3.3220
Tb 3.3220 3.3220 5.8407
Tb 5.3348 7.9532 5.3348
Tb 5.3348 5.3348 7.9532
Tb 7.9532 7.9532 7.9532
Tb 2.4777 6.6440 6.6440
Tb 6.6440 10.8103 6.6440
Tb 6.6440 6.6440 10.8103
Cd 11.0370 8.8950 8.8950
Cd 8.8950 11.0370 8.8950
Cd 8.8950 8.8950 11.0370
Cd 11.0370 11.0370 11.0370
Ni 5.2157 5.2157 5.2157
Ni 8.0724 8.0724 5.2157
Ni 8.0724 5.2157 8.0724
Ni 5.2157 8.0724 8.0724
```

No. 10
Material: La2MgAl
Method: DFT, GGA-PBEsol
State: optimized geometry

Output
volume: 110 Å³/cell
E: -4.12 eV/atom
SG: C2/m, No. 12

The structure in extended XYZ format:
```
4
Lattice="5.6062 -1.6539 0.0000 5.6062 1.6539 0.0000 -0.8272 0.0000 5.9114" Properties=species:S:1:pos:R:3 pbc="T T T"
La 2.5474 0.0000 1.3057
La 7.8377 0.0000 4.6056
Mg -0.4136 0.0000 2.9557
Al 5.6062 0.0000 0.0000
```

No. 11
Material: AlSi2Tc
Method: DFT, GGA-PBEsol
State: optimized geometry

Output
volume: 55 Å³/cell
E: -6.90 eV/atom
SG: Cm, No. 8

The structure in extended XYZ format:
```
4
Lattice="4.3815 -1.4870 0.0000 4.3815 1.4870 0.0000 -0.4573 0.0000 4.2059" Properties=species:S:1:pos:R:3 pbc="T T T"
Al 0.0000 0.0000 0.0000
Si 1.8389 0.0000 3.2305
Si 3.9488 0.0000 2.0280
Tc 6.4220 0.0000 1.1499
```

No. 12
Material: K2MgCr
Method: DFT, GGA-PBEsol
State: optimized geometry

Output
volume: 153 Å³/cell
E: -2.90 eV/atom
SG: Pmm2, No. 25

The structure in extended XYZ format:
```
4
Lattice="3.6182 0.0000 0.0000 0.0000 4.1340 0.0000 0.0000 0.0000 10.2276" Properties=species:S:1:pos:R:3 pbc="T T T"
K 0.0000 0.0000 0.0000
K 1.8091 2.0670 3.9776
Mg 0.0000 0.0000 6.6694
Cr 1.8091 2.0670 7.6241
```